Entry 1:
# PBE YSb2, relaxed
data_YSb2
_chemical_formula_sum 'Y2 Sb4'
_symmetry_space_group_name_H-M 'P 1'
_symmetry_Int_Tables_number 1
_cell_length_a 8.4526
_cell_length_b 8.4526
_cell_length_c 8.4526
_cell_angle_alpha 36.15
_cell_angle_beta 36.15
_cell_angle_gamma 36.15
loop_
_symmetry_equiv_pos_as_xyz
'x,y,z'
loop_
_atom_site_label
_atom_site_type_symbol
_atom_site_fract_x
_atom_site_fract_y
_atom_site_fract_z
_atom_site_occupancy
Y1 Y 0.0784 0.0784 0.0784 1
Y2 Y 0.9216 0.9216 0.9216 1
Sb1 Sb 0.2194 0.2194 0.2194 1
Sb2 Sb 0.3437 0.3437 0.3437 1
Sb3 Sb 0.6563 0.6563 0.6563 1
Sb4 Sb 0.7806 0.7806 0.7806 1
# E   -16.0 eV per formula unit
# Calculated volume   188 Å³/cell
# E_form (uncorrected)   -1.24 eV/f.u.

=====

Entry 2:
# PBE Pa6HgTe12, relaxed
data_Pa6HgTe12
_chemical_formula_sum 'Pa6 Hg1 Te12'
_symmetry_space_group_name_H-M 'P 1'
_symmetry_Int_Tables_number 1
_cell_length_a 9.1482
_cell_length_b 9.1482
_cell_length_c 9.1482
_cell_angle_alpha 105.14
_cell_angle_beta 105.14
_cell_angle_gamma 105.14
loop_
_symmetry_equiv_pos_as_xyz
'x,y,z'
loop_
_atom_site_label
_atom_site_type_symbol
_atom_site_fract_x
_atom_site_fract_y
_atom_site_fract_z
_atom_site_occupancy
Pa1 Pa 0.2639 0.2639 0.6704 1
Pa2 Pa 0.2639 0.6704 0.2639 1
Pa3 Pa 0.3296 0.7361 0.7361 1
Pa4 Pa 0.6704 0.2639 0.2639 1
Pa5 Pa 0.7361 0.3296 0.7361 1
Pa6 Pa 0.7361 0.7361 0.3296 1
Hg1 Hg 0.0000 0.0000 0.0000 1
Te1 Te 0.1263 0.5000 0.8737 1
Te2 Te 0.1263 0.8737 0.5000 1
Te3 Te 0.1732 0.4326 0.4326 1
Te4 Te 0.4326 0.1732 0.4326 1
Te5 Te 0.4326 0.4326 0.1732 1
Te6 Te 0.5000 0.1263 0.8737 1
Te7 Te 0.5000 0.8737 0.1263 1
Te8 Te 0.5674 0.5674 0.8268 1
Te9 Te 0.5674 0.8268 0.5674 1
Te10 Te 0.8268 0.5674 0.5674 1
Te11 Te 0.8737 0.1263 0.5000 1
Te12 Te 0.8737 0.5000 0.1263 1
# E   -107.5 eV per formula unit
# Calculated volume   667 Å³/cell
# E_form (uncorrected)   -12.47 eV/f.u.

=====

Entry 3:
# PBE NaPm2Tl3, relaxed
data_NaPm2Tl3
_chemical_formula_sum 'Na2 Pm4 Tl6'
_symmetry_space_group_name_H-M 'P 1'
_symmetry_Int_Tables_number 1
_cell_length_a 11.5915
_cell_length_b 11.5915
_cell_length_c 6.7803
_cell_angle_alpha 90.00
_cell_angle_beta 90.00
_cell_angle_gamma 155.52
loop_
_symmetry_equiv_pos_as_xyz
'x,y,z'
loop_
_atom_site_label
_atom_site_type_symbol
_atom_site_fract_x
_atom_site_fract_y
_atom_site_fract_z
_atom_site_occupancy
Na1 Na 0.1813 0.8187 0.7500 1
Na2 Na 0.8187 0.1813 0.2500 1
Pm1 Pm 0.3596 0.6404 0.7500 1
Pm2 Pm 0.4766 0.5234 0.2500 1
Pm3 Pm 0.5234 0.4766 0.7500 1
Pm4 Pm 0.6404 0.3596 0.2500 1
Tl1 Tl 0.0703 0.9297 0.0241 1
Tl2 Tl 0.0703 0.9297 0.4759 1
Tl3 Tl 0.2328 0.7672 0.2500 1
Tl4 Tl 0.7672 0.2328 0.7500 1
Tl5 Tl 0.9297 0.0703 0.5241 1
Tl6 Tl 0.9297 0.0703 0.9759 1
# E   -19.0 eV per formula unit
# Polymorph energy (0 for the lowest one)   0.129 eV per atom
# Calculated volume   378 Å³/cell
# Formation enthalpy at 0 K   -0.1747 eV per atom

=====

Entry 4:
# PBE AsIrPb3, relaxed
data_AsIrPb3
_chemical_formula_sum 'As1 Ir1 Pb3'
_symmetry_space_group_name_H-M 'P 1'
_symmetry_Int_Tables_number 1
_cell_length_a 5.2756
_cell_length_b 5.2756
_cell_length_c 5.2756
_cell_angle_alpha 90.00
_cell_angle_beta 90.00
_cell_angle_gamma 90.00
loop_
_symmetry_equiv_pos_as_xyz
'x,y,z'
loop_
_atom_site_label
_atom_site_type_symbol
_atom_site_fract_x
_atom_site_fract_y
_atom_site_fract_z
_atom_site_occupancy
As1 As 0.0000 0.0000 0.0000 1
Ir1 Ir 0.5000 0.5000 0.5000 1
Pb1 Pb 0.0000 0.5000 0.5000 1
Pb2 Pb 0.5000 0.0000 0.5000 1
Pb3 Pb 0.5000 0.5000 0.0000 1
# E   -23.1 eV per formula unit
# Polymorph energy (0 for the lowest one)   0.000 eV per atom
# Calculated volume   147 Å³/cell
# Formation enthalpy at 0 K   0.3131 eV per atom